Below is a relaxed structure of Cu3Ag, with properties calculated at the GGA-PBE level.

Theoretical density: 9.3 Mg/m³
V: 106.5 Å³/cell
Formation enthalpy at 0 K: 0.067 eV per atom
Uncorrected energy: -3.43 eV/atom

```
Cu3Ag
1.0
2.739 0.000 0.000
0.000 2.739 0.000
0.000 0.000 14.190
Cu Ag
6 2
Direct
0.000 0.000 0.000
0.000 0.000 0.226
0.000 0.000 0.500
0.000 0.000 0.774
0.500 0.500 0.113
0.500 0.500 0.887
0.500 0.500 0.363
0.500 0.500 0.637
```